# PBE Sm5ScPb4, optimized geometry
# energy relative to the elements: -4.06 kcal/mol of atoms
# ρ: 8.11 g/cm3
# magnetization: 0.0 μB/cell
data_Sm5ScPb4
_chemical_formula_sum 'Sm10 Sc2 Pb8'
_symmetry_space_group_name_H-M 'C 1 2/m 1'
_symmetry_Int_Tables_number 12
_cell_length_a 19.253
_cell_length_b 3.730
_cell_length_c 9.594
_cell_angle_alpha 90.00
_cell_angle_beta 104.88
_cell_angle_gamma 90.00
loop_
_symmetry_equiv_pos_as_xyz
'x,y,z'
'-x,-y,-z'
'-x,y,-z'
'x,-y,z'
'x+1/2,y+1/2,z'
'-x+1/2,-y+1/2,-z'
'-x+1/2,y+1/2,-z'
'x+1/2,-y+1/2,z'
loop_
_atom_site_label
_atom_site_fract_x
_atom_site_fract_y
_atom_site_fract_z
Sm1 0.000 0.000 0.000
Sm2 0.169 0.500 0.306
Sm3 0.174 0.500 0.868
Sc1 0.000 0.000 0.500
Pb1 0.002 0.500 0.741
Pb2 0.162 0.000 0.582